! NbIF2 (PBE, relaxed); values from VASP
&SYSTEM
  ibrav = 0, nat = 4, ntyp = 3
/
ATOMIC_SPECIES
I 126.90 I.upf
Nb 92.91 Nb.upf
F 19.00 F.upf
CELL_PARAMETERS angstrom
0.0000 3.1985 3.1985
3.1985 0.0000 3.1985
3.1985 3.1985 0.0000
ATOMIC_POSITIONS crystal
I 0.5000 0.5000 0.5000
Nb 0.0000 0.0000 0.0000
F 0.2500 0.2500 0.2500
F 0.7500 0.7500 0.7500
! Formation energy (no corrections) in meV/atom: -626
! Crystal system: cubic
! Total DFT energy (no corrections) in eV per atom: -4.466
! DOS(E_F) in states/eV/cell: 5.520
! Excess energy over the best structure of this formula in the dataset in meV per atom: 772.6
! V in Å³ per cell: 65